No. 1
Here is SrHg2Au at its PBEsol-relaxed geometry from Alexandria. Energies are from meta-GGA SCAN.

Structure (CIF):
```
data_SrHg2Au
_chemical_formula_sum 'Sr1 Hg2 Au1'
_space_group_name_H-M_alt 'P 4/m m m'
_space_group_IT_number 123
_space_group_name_Hall '-P 4 2'
_cell_length_a 4.4919
_cell_length_b 4.4919
_cell_length_c 4.8658
_cell_angle_alpha 90.00
_cell_angle_beta 90.00
_cell_angle_gamma 90.00
loop_
_atom_site_label
_atom_site_type_symbol
_atom_site_fract_x
_atom_site_fract_y
_atom_site_fract_z
Sr1 Sr 0.0000 0.0000 0.0000
Hg1 Hg 0.0000 0.5000 0.5000
Au1 Au 0.5000 0.5000 0.0000
```

Results
Energy of formation from the pure elements   -0.514 eV per atom
V   24.55 Å³ per atom
N(E_F)   0.2994 states/eV per atom

No. 2
Here is SrHg2Au at its PBEsol-relaxed geometry from Alexandria. Energies are from meta-GGA SCAN.

Structure (CIF):
```
data_SrHg2Au
_chemical_formula_sum 'Sr1 Hg2 Au1'
_space_group_name_H-M_alt 'P 1 m 1'
_space_group_IT_number 6
_space_group_name_Hall 'P -2y'
_cell_length_a 3.8574
_cell_length_b 4.3354
_cell_length_c 6.4049
_cell_angle_alpha 90.00
_cell_angle_beta 107.67
_cell_angle_gamma 90.00
loop_
_atom_site_label
_atom_site_type_symbol
_atom_site_fract_x
_atom_site_fract_y
_atom_site_fract_z
Sr1 Sr 0.0000 0.0000 0.0000
Hg1 Hg 0.3382 0.5000 0.6791
Hg2 Hg 0.7440 0.0000 0.4761
Au1 Au 0.5923 0.5000 0.1839
```

Results
Energy of formation from the pure elements   -0.517 eV per atom
V   25.51 Å³ per atom
N(E_F)   0.4609 states/eV per atom

No. 3
Here is Ta2HgAu at its PBEsol-relaxed geometry from Alexandria. Energies are from meta-GGA SCAN.

Structure (CIF):
```
data_Ta2HgAu
_chemical_formula_sum 'Ta4 Hg2 Au2'
_space_group_name_H-M_alt 'C 1 m 1'
_space_group_IT_number 8
_space_group_name_Hall 'C -2y'
_cell_length_a 9.5055
_cell_length_b 2.9806
_cell_length_c 5.1519
_cell_angle_alpha 90.00
_cell_angle_beta 100.91
_cell_angle_gamma 90.00
loop_
_atom_site_label
_atom_site_type_symbol
_atom_site_fract_x
_atom_site_fract_y
_atom_site_fract_z
Ta1 Ta 0.0000 0.0000 0.0000
Ta2 Ta 0.2376 0.5000 0.2355
Hg1 Hg 0.4949 0.0000 0.4977
Au1 Au 0.2524 0.0000 0.7511
```

Results
Energy of formation from the pure elements   0.148 eV per atom
V   17.92 Å³ per atom
N(E_F)   0.5255 states/eV per atom

No. 4
Here is Ta2HgAu at its PBEsol-relaxed geometry from Alexandria. Energies are from meta-GGA SCAN.

Structure (CIF):
```
data_Ta2HgAu
_chemical_formula_sum 'Ta4 Hg2 Au2'
_space_group_name_H-M_alt 'I -4 m 2'
_space_group_IT_number 119
_space_group_name_Hall 'I -4 -2'
_cell_length_a 4.0481
_cell_length_b 4.0481
_cell_length_c 8.6864
_cell_angle_alpha 90.00
_cell_angle_beta 90.00
_cell_angle_gamma 90.00
loop_
_atom_site_label
_atom_site_type_symbol
_atom_site_fract_x
_atom_site_fract_y
_atom_site_fract_z
Ta1 Ta 0.0000 0.0000 0.0000
Ta2 Ta 0.0000 0.5000 0.2500
Hg1 Hg 0.0000 0.5000 0.7500
Au1 Au 0.0000 0.0000 0.5000
```

Results
Energy of formation from the pure elements   0.234 eV per atom
V   17.79 Å³ per atom
N(E_F)   1.3567 states/eV per atom

Please write out number 1 again, unchanged.
Here is SrHg2Au at its PBEsol-relaxed geometry from Alexandria. Energies are from meta-GGA SCAN.

Structure (CIF):
```
data_SrHg2Au
_chemical_formula_sum 'Sr1 Hg2 Au1'
_space_group_name_H-M_alt 'P 4/m m m'
_space_group_IT_number 123
_space_group_name_Hall '-P 4 2'
_cell_length_a 4.4919
_cell_length_b 4.4919
_cell_length_c 4.8658
_cell_angle_alpha 90.00
_cell_angle_beta 90.00
_cell_angle_gamma 90.00
loop_
_atom_site_label
_atom_site_type_symbol
_atom_site_fract_x
_atom_site_fract_y
_atom_site_fract_z
Sr1 Sr 0.0000 0.0000 0.0000
Hg1 Hg 0.0000 0.5000 0.5000
Au1 Au 0.5000 0.5000 0.0000
```

Results
Energy of formation from the pure elements   -0.514 eV per atom
V   24.55 Å³ per atom
N(E_F)   0.2994 states/eV per atom